Below is a relaxed Ca2PmAg crystal, with properties calculated at the PBE level.

As for the total energy: -2.986 eV/atom. The magnetic moment is 0.00 μB/cell.

Cell lengths 3.5884, 3.5884, 9.8052 Å; angles 90.00, 90.00, 90.00 degrees
With the nearest neighbours (Å) after each atom.
Space group P4/mmm (No. 123)
Unique sites:
Ca1 0.0000 0.0000 0.2009 [2 per cell]  4 Ag 3.21, 4 Ca 3.59
Pm1 0.5000 0.5000 0.5000 [1 per cell]  4 Pm 3.59, 8 Ca 3.88
Ag1 0.5000 0.5000 0.0000 [1 per cell]  8 Ca 3.21, 4 Ag 3.59